Entry 1:
Ca2Mg: relaxed, PBE.

abc: 3.9504 3.9504 13.4017
angles: 90.00 90.00 90.00
With the nearest neighbours (Å) after each atom.
Fractional coordinates of all 6 atoms:
1 Ca 0.0000 0.0000 0.0000  8 Mg 3.43
2 Ca 0.0000 0.0000 0.2968  4 Mg 3.43
3 Ca 0.0000 0.0000 0.7032  4 Mg 3.43
4 Ca 0.5000 0.5000 0.5000  12 Ca 3.90-3.95
5 Mg 0.5000 0.5000 0.1487  8 Ca 3.43
6 Mg 0.5000 0.5000 0.8513  8 Ca 3.43

Summary:
* mass density: 1659 kg/m³
* energy relative to the elements: -0.05 eV/atom
* DOS at the Fermi energy: 1.118 states/eV per atom
* DFT total energy: -1.918 eV/atom

Entry 2:
CaAuSe: relaxed, PBE.

abc: 10.6612 5.3719 5.4917
angles: 90.00 90.00 90.00
With the nearest neighbours (Å) after each atom.
Fractional coordinates of all 12 atoms:
1 Ca 0.1385 0.2500 0.1581  4 Se 2.91-2.98, 4 Au 3.14-3.20
2 Ca 0.3615 0.7500 0.6581  4 Se 2.91-2.98, 4 Au 3.14-3.20
3 Ca 0.6385 0.2500 0.3419  4 Se 2.91-2.98, 4 Au 3.14-3.20
4 Ca 0.8615 0.7500 0.8419  4 Se 2.91-2.98, 4 Au 3.14-3.20
5 Au 0.0853 0.7500 0.4581  2 Se 2.78-2.79
6 Au 0.4147 0.2500 0.9581  2 Se 2.78-2.79
7 Au 0.5853 0.7500 0.0419  2 Se 2.78-2.79
8 Au 0.9147 0.2500 0.5419  2 Se 2.78-2.79
9 Se 0.1278 0.7500 0.9567  2 Au 2.78-2.79, 4 Ca 2.91-2.98
10 Se 0.3722 0.2500 0.4567  2 Au 2.78-2.79, 4 Ca 2.91-2.98
11 Se 0.6278 0.7500 0.5433  2 Au 2.78-2.79, 4 Ca 2.91-2.98
12 Se 0.8722 0.2500 0.0433  2 Au 2.78-2.79, 4 Ca 2.91-2.98

Summary:
* mass density: 6674 kg/m³
* formation energy from raw total energies: -0.9875 eV/atom
* DOS at the Fermi energy: 0.103 states/eV per atom
* DFT total energy: -3.909 eV/atom

Entry 3:
PmPuMgGa: relaxed, PBE.

abc: 5.2464 5.2464 5.2464
angles: 60.00 60.00 60.00
With the nearest neighbours (Å) after each atom.
Fractional coordinates of all 4 atoms:
1 Pm 0.0000 0.0000 0.0000  4 Ga 3.21, 4 Mg 3.21
2 Pu 0.5000 0.5000 0.5000  4 Ga 3.21, 4 Mg 3.21
3 Mg 0.2500 0.2500 0.2500  4 Pu 3.21, 4 Pm 3.21
4 Ga 0.7500 0.7500 0.7500  4 Pm 3.21, 4 Pu 3.21

Summary:
* mass density: 7855 kg/m³
* energy relative to the elements: -0.14 eV/atom
* DOS at the Fermi energy: 1.888 states/eV per atom
* DFT total energy: -6.070 eV/atom

Entry 4:
CsRb2CuIr: relaxed, PBE.

abc: 6.3603 6.3603 4.8202
angles: 90.00 90.00 90.00
With the nearest neighbours (Å) after each atom.
Fractional coordinates of all 5 atoms:
1 Cs 0.0000 0.0000 0.0000  8 Rb 3.99
2 Rb 0.0000 0.5000 0.5000  2 Cu 3.18
3 Rb 0.5000 0.0000 0.5000  2 Cu 3.18
4 Cu 0.5000 0.5000 0.5000  2 Ir 2.41
5 Ir 0.5000 0.5000 0.0000  2 Cu 2.41

Summary:
* mass density: 4765 kg/m³
* energy relative to the elements: 0.67 eV/atom
* DOS at the Fermi energy: 1.443 states/eV per atom
* DFT total energy: -2.481 eV/atom

Entry 5:
LiPmDyMn: relaxed, PBE.

abc: 5.0936 5.0936 5.0936
angles: 60.00 60.00 60.00
With the nearest neighbours (Å) after each atom.
Fractional coordinates of all 4 atoms:
1 Li 0.0000 0.0000 0.0000  4 Dy 3.12, 4 Pm 3.12
2 Pm 0.2500 0.2500 0.2500  4 Mn 3.12, 4 Li 3.12
3 Dy 0.7500 0.7500 0.7500  4 Li 3.12, 4 Mn 3.12
4 Mn 0.5000 0.5000 0.5000  4 Dy 3.12, 4 Pm 3.12

Summary:
* mass density: 6564 kg/m³
* energy relative to the elements: 0.14 eV/atom
* DOS at the Fermi energy: 1.095 states/eV per atom
* DFT total energy: -4.967 eV/atom

Entry 6:
MnGeCN: relaxed, PBE.

abc: 3.0564 3.0869 5.1614
angles: 85.89 90.00 62.41
With the nearest neighbours (Å) after each atom.
Fractional coordinates of all 4 atoms:
1 Mn 0.0000 0.0000 0.0000  3 N 1.92-1.95
2 Ge 0.5971 0.7810 0.3915  2 C 1.99-2.00
3 C 0.5620 0.2686 0.6353  1 N 1.34
4 N 0.3220 0.3719 0.8586  1 C 1.34

Summary:
* mass density: 5929 kg/m³
* formation energy from raw total energies: 0.4220 eV/atom
* DOS at the Fermi energy: 0.705 states/eV per atom
* DFT total energy: -7.412 eV/atom

Entry 7:
HfTcSn2: relaxed, PBE.

abc: 4.8042 4.8042 4.8042
angles: 60.00 60.00 60.00
With the nearest neighbours (Å) after each atom.
Fractional coordinates of all 4 atoms:
1 Hf 0.0000 0.0000 0.0000  8 Sn 2.94
2 Tc 0.5000 0.5000 0.5000  8 Sn 2.94
3 Sn 0.2500 0.2500 0.2500  4 Hf 2.94, 4 Tc 2.94
4 Sn 0.7500 0.7500 0.7500  4 Tc 2.94, 4 Hf 2.94

Summary:
* mass density: 10884 kg/m³
* energy relative to the elements: 0.04 eV/atom
* DOS at the Fermi energy: 0.662 states/eV per atom
* DFT total energy: -7.037 eV/atom

Entry 8:
SmSi3Ir: relaxed, PBE.

abc: 5.7593 5.7593 5.7593
angles: 136.90 136.90 62.59
With the nearest neighbours (Å) after each atom.
Fractional coordinates of all 5 atoms:
1 Sm 0.0000 0.0000 0.0000  12 Si 3.10-3.36, 5 Ir 3.36-3.40
2 Si 0.2656 0.7656 0.5000  2 Ir 2.38, 2 Si 2.58
3 Si 0.4157 0.4157 0.0000  1 Ir 2.35, 4 Si 2.58
4 Si 0.7656 0.2656 0.5000  2 Ir 2.38, 2 Si 2.58
5 Ir 0.6547 0.6547 0.0000  5 Si 2.35-2.38

Summary:
* mass density: 8046 kg/m³
* formation energy from raw total energies: -0.8053 eV/atom
* DOS at the Fermi energy: 0.291 states/eV per atom
* DFT total energy: -6.775 eV/atom

Question: The highest DOS at the Fermi energy belongs to which entry?
Answer: PmPuMgGa